Record 1
VASP calculation (GGA-PBE) on crystalline SnPtRh3 at its relaxed geometry.

Its total energy is -26.5 eV for the cell shown. Its energy above the most stable polymorph in this dataset is 1.3217 eV per atom.

The space group is Pm-3m (No. 221) and the conventional cell measures 4.8002, 4.8002 and 4.8002 Å, with angles of 90.00, 90.00 and 90.00 degrees. The distinct sites, in fractional coordinates, are Sn at (0.0000, 0.0000, 0.0000), Pt at (0.5000, 0.5000, 0.5000) and Rh at (0.0000, 0.5000, 0.5000).



Record 2
VASP calculation (GGA-PBE) on crystalline SnPtRh3 at its relaxed geometry.

Its total energy is -256.9 eV for the cell shown. Its energy above the most stable polymorph in this dataset is 0.2094 eV per atom.

The space group is C2/c (No. 15) and the conventional cell measures 9.6501, 9.4732 and 7.8646 Å, with angles of 90.00, 112.99 and 90.00 degrees. The distinct sites, in fractional coordinates, are Sn at (0.0000, 0.0757, 0.2500), Sn at (0.0000, 0.3841, 0.7500), Pt at (0.1382, 0.3259, 0.3862), Rh at (0.0926, 0.1488, 0.6355), Rh at (0.1640, 0.4570, 0.1039) and Rh at (0.2012, 0.1720, 0.1144).



Record 3
VASP calculation (GGA-PBE) on crystalline Sn2Pt3Rh3 at its relaxed geometry.

Its total energy is -51.0 eV for the cell shown.

The space group is Pmmm (No. 47) and the conventional cell measures 4.0055, 4.0605 and 7.9090 Å, with angles of 90.00, 90.00 and 90.00 degrees. The distinct sites, in fractional coordinates, are Sn at (0.0000, 0.0000, 0.2451), Pt at (0.0000, 0.5000, 0.5000), Pt at (0.5000, 0.5000, 0.2484), Rh at (0.0000, 0.5000, 0.0000), Rh at (0.5000, 0.0000, 0.0000) and Rh at (0.5000, 0.0000, 0.5000).



Record 4
VASP calculation (GGA-PBE) on crystalline SnPt4Rh4 at its relaxed geometry.

Its total energy is -117.8 eV for the cell shown.

The space group is I4/mmm (No. 139) and the conventional cell measures 8.4001, 8.4001 and 3.9295 Å, with angles of 90.00, 90.00 and 90.00 degrees. The distinct sites, in fractional coordinates, are Sn at (0.0000, 0.0000, 0.0000), Pt at (0.0000, 0.3312, 0.0000) and Rh at (0.1663, 0.1663, 0.5000).



Record 5
VASP calculation (GGA-PBE) on crystalline SnPtRh at its relaxed geometry.

Its total energy is -36.7 eV for the cell shown.

The space group is P2_1/m (No. 11) and the conventional cell measures 5.3152, 3.8793 and 5.5555 Å, with angles of 90.00, 105.35 and 90.00 degrees. The distinct sites, in fractional coordinates, are Sn at (0.0968, 0.2500, 0.2752), Pt at (0.3576, 0.7500, 0.0865) and Rh at (0.3484, 0.7500, 0.5875).



Record 6
VASP calculation (GGA-PBE) on crystalline SnPt2Rh8 at its relaxed geometry.

Its total energy is -152.0 eV for the cell shown.

The space group is C2/m (No. 12) and the conventional cell measures 14.0643, 3.9178 and 6.1738 Å, with angles of 90.00, 105.22 and 90.00 degrees. The distinct sites, in fractional coordinates, are Sn at (0.0000, 0.0000, 0.0000), Pt at (0.2252, 0.5000, 0.6384), Rh at (0.0449, 0.5000, 0.7212), Rh at (0.0908, 0.0000, 0.4567), Rh at (0.1381, 0.5000, 0.1848) and Rh at (0.1829, 0.0000, 0.9122).



Record 7
VASP calculation (GGA-PBE) on crystalline Sn6PtRh12 at its relaxed geometry.

Its total energy is -367.3 eV for the cell shown.

The space group is R-3 (No. 148, hexagonal axes) and the conventional cell measures 11.8127, 11.8127 and 8.0319 Å, with angles of 90.00, 90.00 and 120.00 degrees. The distinct sites, in fractional coordinates, are Sn at (0.0437, 0.1983, 0.2499), Pt at (0.0000, 0.0000, 0.5000), Rh at (0.0378, 0.2465, 0.5773) and Rh at (0.0703, 0.2450, 0.9264).



Record 8
VASP calculation (GGA-PBE) on crystalline SnPt8Rh6 at its relaxed geometry.

Its total energy is -286.5 eV for the cell shown.

The space group is R-3 (No. 148, hexagonal axes) and the conventional cell measures 6.6949, 6.6949 and 18.4899 Å, with angles of 90.00, 90.00 and 120.00 degrees. The distinct sites, in fractional coordinates, are Sn at (0.0000, 0.0000, 0.0000), Pt at (0.0000, 0.0000, 0.1735), Pt at (0.0444, 0.7790, 0.5591) and Rh at (0.0276, 0.7796, 0.7070).



Record 9
VASP calculation (GGA-PBE) on crystalline SnPtRh6 at its relaxed geometry.

Its total energy is -110.3 eV for the cell shown.

The space group is C2/m (No. 12) and the conventional cell measures 8.7162, 3.9416 and 7.8489 Å, with angles of 90.00, 116.86 and 90.00 degrees. The distinct sites, in fractional coordinates, are Sn at (0.0000, 0.0000, 0.0000), Pt at (0.0000, 0.0000, 0.5000), Rh at (0.0000, 0.5000, 0.2550), Rh at (0.2478, 0.0000, 0.8716) and Rh at (0.2504, 0.0000, 0.3762).



Record 10
VASP calculation (GGA-PBE) on crystalline SnPt3Rh3 at its relaxed geometry.

Its total energy is -265.5 eV for the cell shown.

The space group is R-3 (No. 148, hexagonal axes) and the conventional cell measures 6.5389, 6.5389 and 18.8973 Å, with angles of 90.00, 90.00 and 120.00 degrees. The distinct sites, in fractional coordinates, are Sn at (0.0000, 0.0000, 0.1659), Pt at (0.0506, 0.2728, 0.7054) and Rh at (0.0350, 0.2539, 0.5604).



Record 11
VASP calculation (GGA-PBE) on crystalline SnPt4Rh2 at its relaxed geometry.

Its total energy is -88.4 eV for the cell shown.

The space group is C2/m (No. 12) and the conventional cell measures 8.7868, 3.9968 and 6.3798 Å, with angles of 90.00, 98.99 and 90.00 degrees. The distinct sites, in fractional coordinates, are Sn at (0.0000, 0.0000, 0.0000), Pt at (0.0705, 0.5000, 0.7118), Pt at (0.1457, 0.0000, 0.4260) and Rh at (0.2141, 0.5000, 0.1405).



Record 12
VASP calculation (GGA-PBE) on crystalline SnPt14Rh at its relaxed geometry.

Its total energy is -194.0 eV for the cell shown.

The space group is Amm2 (No. 38) and the conventional cell measures 9.3272, 5.5954 and 9.7266 Å, with angles of 90.00, 90.00 and 90.00 degrees. The distinct sites, in fractional coordinates, are Sn at (0.0000, 0.0000, 0.0000), Pt at (0.0000, 0.2494, 0.7490), Pt at (0.2484, 0.2486, 0.4183), Pt at (0.2489, 0.0000, 0.6675), Pt at (0.2506, 0.0000, 0.1688), Pt at (0.5000, 0.0000, 0.3364), Pt at (0.5000, 0.0000, 0.8361), Pt at (0.5000, 0.2499, 0.0859) and Rh at (0.0000, 0.0000, 0.5012).



Record 13
VASP calculation (GGA-PBE) on crystalline SnPtRh2 at its relaxed geometry.

Its total energy is -26.1 eV for the cell shown.

The space group is P4/mmm (No. 123) and the conventional cell measures 4.0431, 4.0431 and 3.8881 Å, with angles of 90.00, 90.00 and 90.00 degrees. The distinct sites, in fractional coordinates, are Sn at (0.0000, 0.0000, 0.0000), Pt at (0.5000, 0.5000, 0.0000) and Rh at (0.0000, 0.5000, 0.5000).



Record 14
VASP calculation (GGA-PBE) on crystalline SnPtRh at its relaxed geometry.

Its total energy is -36.1 eV for the cell shown.

The space group is I4mm (No. 107) and the conventional cell measures 3.2107, 3.2107 and 9.8300 Å, with angles of 90.00, 90.00 and 90.00 degrees. The distinct sites, in fractional coordinates, are Sn at (0.0000, 0.0000, 0.0000), Pt at (0.0000, 0.0000, 0.3387) and Rh at (0.0000, 0.0000, 0.6511).



Record 15
VASP calculation (GGA-PBE) on crystalline SnPt4Rh at its relaxed geometry.

Its total energy is -71.7 eV for the cell shown.

The space group is P-1 (No. 2) and the conventional cell measures 4.7367, 5.2291 and 9.2447 Å, with angles of 100.83, 93.76 and 98.34 degrees. The distinct sites, in fractional coordinates, are Sn at (0.1447, 0.3259, 0.3007), Pt at (0.2056, 0.6801, 0.0854), Pt at (0.2995, 0.4566, 0.7978), Pt at (0.3843, 0.9496, 0.7353), Pt at (0.4726, 0.2555, 0.5361) and Rh at (0.2738, 0.1519, 0.0152).



Record 16
VASP calculation (GGA-PBE) on crystalline SnPtRh at its relaxed geometry.

Its total energy is -37.0 eV for the cell shown.

The space group is P6_3/mmc (No. 194) and the conventional cell measures 4.5287, 4.5287 and 5.6618 Å, with angles of 90.00, 90.00 and 120.00 degrees. The distinct sites, in fractional coordinates, are Sn at (0.3333, 0.6667, 0.2500), Pt at (0.0000, 0.0000, 0.0000) and Rh at (0.3333, 0.6667, 0.7500).



Record 17
VASP calculation (GGA-PBE) on crystalline SnPtRh4 at its relaxed geometry.

Its total energy is -40.0 eV for the cell shown. Its energy above the most stable polymorph in this dataset is 0.0000 eV per atom.

The space group is Pmmm (No. 47) and the conventional cell measures 2.8623, 3.8409 and 8.3911 Å, with angles of 90.00, 90.00 and 90.00 degrees. The distinct sites, in fractional coordinates, are Sn at (0.0000, 0.0000, 0.0000), Pt at (0.5000, 0.5000, 0.5000), Rh at (0.0000, 0.0000, 0.3381) and Rh at (0.5000, 0.5000, 0.1718).



Record 18
VASP calculation (GGA-PBE) on crystalline SnPt2Rh2 at its relaxed geometry.

Its total energy is -61.7 eV for the cell shown. Its energy above the most stable polymorph in this dataset is 0.0000 eV per atom.

The space group is P4/mbm (No. 127) and the conventional cell measures 6.7726, 6.7726 and 3.7325 Å, with angles of 90.00, 90.00 and 90.00 degrees. The distinct sites, in fractional coordinates, are Sn at (0.0000, 0.0000, 0.0000), Pt at (0.1528, 0.3472, 0.5000) and Rh at (0.1371, 0.6371, 0.0000).



Record 19
VASP calculation (GGA-PBE) on crystalline SnPt8Rh2 at its relaxed geometry.

Its total energy is -136.8 eV for the cell shown.

The space group is C2/m (No. 12) and the conventional cell measures 14.3122, 3.9907 and 6.3059 Å, with angles of 90.00, 105.51 and 90.00 degrees. The distinct sites, in fractional coordinates, are Sn at (0.0000, 0.0000, 0.0000), Pt at (0.0468, 0.5000, 0.7247), Pt at (0.0940, 0.0000, 0.4532), Pt at (0.1386, 0.5000, 0.1878), Pt at (0.1834, 0.0000, 0.9132) and Rh at (0.2245, 0.5000, 0.6316).



Record 20
VASP calculation (GGA-PBE) on crystalline Sn3PtRh at its relaxed geometry.

Its total energy is -24.4 eV for the cell shown. Its energy above the most stable polymorph in this dataset is 0.5783 eV per atom.

The space group is Pm-3m (No. 221) and the conventional cell measures 5.0239, 5.0239 and 5.0239 Å, with angles of 90.00, 90.00 and 90.00 degrees. The distinct sites, in fractional coordinates, are Sn at (0.0000, 0.0000, 0.5000), Pt at (0.5000, 0.5000, 0.5000) and Rh at (0.0000, 0.0000, 0.0000).



Record 21
VASP calculation (GGA-PBE) on crystalline SnPtRh at its relaxed geometry.

Its total energy is -72.8 eV for the cell shown.

The space group is F-43m (No. 216) and the conventional cell measures 6.1261, 6.1261 and 6.1261 Å, with angles of 90.00, 90.00 and 90.00 degrees. The distinct sites, in fractional coordinates, are Sn at (0.0000, 0.0000, 0.0000), Pt at (0.2500, 0.2500, 0.2500) and Rh at (0.2500, 0.2500, 0.7500).



Record 22
VASP calculation (GGA-PBE) on crystalline SnPt2Rh2 at its relaxed geometry.

Its total energy is -60.4 eV for the cell shown. Its energy above the most stable polymorph in this dataset is 0.1277 eV per atom.

The space group is P6_3/mmc (No. 194) and the conventional cell measures 4.4173, 4.4173 and 10.2450 Å, with angles of 90.00, 90.00 and 120.00 degrees. The distinct sites, in fractional coordinates, are Sn at (0.0000, 0.0000, 0.2500), Pt at (0.0000, 0.0000, 0.0000), Pt at (0.3333, 0.6667, 0.2500) and Rh at (0.3333, 0.6667, 0.5803).



| no. | energy of formation from the pure elements (eV/atom) |
| --- | --- |
| 1 | 1.1100 |
| 2 | -0.0024 |
| 3 | -0.3554 |
| 4 | -0.1484 |
| 5 | -0.3138 |
| 6 | -0.1011 |
| 7 | -0.2184 |
| 8 | 0.0622 |
| 9 | -0.1273 |
| 10 | -0.0099 |
| 11 | -0.1909 |
| 12 | -0.0682 |
| 13 | -0.3315 |
| 14 | -0.2252 |
| 15 | -0.0567 |
| 16 | -0.3747 |
| 17 | -0.0888 |
| 18 | -0.0102 |
| 19 | -0.1250 |
| 20 | 0.2041 |
| 21 | -0.2713 |
| 22 | 0.1175 |